The following is a DFT calculation (SCAN) of a PBEsol-optimized structure of LiCaCd2.

The structure in extended XYZ format:
```
4
Lattice="3.4308 0.0000 0.0000 0.0000 4.9353 0.0000 -0.0660 0.0000 5.5859" Properties=species:S:1:pos:R:3 pbc="T T T"
Li 0.0000 0.0000 0.0000
Ca 3.3440 2.4677 2.1595
Cd 1.6324 0.0000 3.2480
Cd 1.6125 2.4677 4.9251
```

Calculated values
Crystal system ... monoclinic
Space group ... No. 6
E_form ... -0.268 eV/atom
Total magnetization ... 0.00 μB per cell
DFT total energy ... -18.4880 eV/atom
Energy above the most stable polymorph in this dataset ... 74 meV/atom